## ScZnCuRu (GGA-PBE)

Data for crystalline ScZnCuRu at its relaxed geometry.

Cell: 4.4032 4.4032 4.4032 Å, 60.00 60.00 60.00°
Fractional positions:
Sc 0.0000 0.0000 0.0000
Cu 0.2500 0.2500 0.2500
Ru 0.7500 0.7500 0.7500
Zn 0.5000 0.5000 0.5000

Output
ΔE_f: -0.24 eV/atom
space group: F-43m, No. 216



## ScZnCuRu (GGA-PBE)

Data for crystalline ScZnCuRu at its relaxed geometry.

Cell: 3.5079 4.2259 4.0218 Å, 90.00 90.00 90.00°
Fractional positions:
Sc 0.5000 0.0000 0.5000
Zn 0.5000 0.5000 0.0000
Cu 0.0000 0.5000 0.5000
Ru 0.0000 0.0000 0.0000

Output
ΔE_f: -0.31 eV/atom
space group: Pmmm, No. 47



ΔE_f of number 1 (ScZnCuRu)? -0.24 eV/atom